Er3Sn2Hg | PBE-GGA | relaxed

Properties
* E above lowest polymorph: 28 meV/atom
* ΔE_f: -0.53 eV/atom

Cell and atoms, written as extended XYZ:
```
12
Lattice="8.047 -3.128 0.000 8.047 3.128 0.000 -1.369 0.000 6.229" Properties=species:S:1:pos:R:3 pbc="T T T"
Er 7.021 2.283 4.672
Er 4.752 0.674 2.513
Er 4.068 -0.674 5.628
Er 10.658 0.674 0.601
Er 9.973 -0.674 3.715
Er 7.705 -2.283 1.557
Sn 2.512 0.649 0.349
Sn 1.827 -0.649 3.464
Sn 12.898 0.649 2.765
Sn 12.214 -0.649 5.880
Hg 7.705 0.761 1.557
Hg 7.021 -0.761 4.672
```

---

Mn4CrCu | PBE-GGA | relaxed

Properties
* ΔE_f: 0.24 eV/atom

Cell and atoms, written as extended XYZ:
```
6
Lattice="0.000 3.272 3.272 3.272 0.000 3.272 3.272 3.272 0.000" Properties=species:S:1:pos:R:3 pbc="T T T"
Mn 0.812 0.812 0.812
Mn 2.460 2.460 0.812
Mn 2.460 0.812 2.460
Mn 0.812 2.460 2.460
Cr 3.272 3.272 3.272
Cu 4.909 4.909 4.909
```

---

TbPtAu | PBE-GGA | relaxed

Properties
* E above lowest polymorph: 92 meV/atom
* ΔE_f: -0.85 eV/atom

Cell and atoms, written as extended XYZ:
```
3
Lattice="0.000 3.292 3.292 3.292 0.000 3.292 3.292 3.292 0.000" Properties=species:S:1:pos:R:3 pbc="T T T"
Tb 0.000 0.000 0.000
Pt 1.646 1.646 1.646
Au 3.292 3.292 3.292
```

---

CaBiRh2 | PBE-GGA | relaxed

Properties
* ΔE_f: -0.35 eV/atom

Cell and atoms, written as extended XYZ:
```
4
Lattice="4.537 0.000 0.000 0.000 4.537 0.000 0.000 0.000 3.738" Properties=species:S:1:pos:R:3 pbc="T T T"
Ca 0.000 0.000 0.000
Bi 2.268 2.268 0.000
Rh 0.000 2.268 1.869
Rh 2.268 0.000 1.869
```

---

ZrTiSb2Te | PBE-GGA | relaxed

Properties
* E above lowest polymorph: 0 meV/atom

Cell and atoms, written as extended XYZ:
```
5
Lattice="5.220 0.000 0.000 0.000 5.220 0.000 0.000 0.000 5.260" Properties=species:S:1:pos:R:3 pbc="T T T"
Zr 0.000 0.000 0.000
Ti 2.610 2.610 2.630
Sb 0.000 2.610 2.630
Sb 2.610 0.000 2.630
Te 2.610 2.610 0.000
```

---

CsZnIn | PBE-GGA | relaxed

Properties
* E above lowest polymorph: 108 meV/atom
* ΔE_f: 0.07 eV/atom

Cell and atoms, written as extended XYZ:
```
3
Lattice="4.735 0.000 0.000 -2.367 4.100 0.000 0.000 0.000 6.230" Properties=species:S:1:pos:R:3 pbc="T T T"
Cs 0.000 0.000 0.000
Zn 0.000 2.734 3.115
In 2.367 1.367 3.115
```

---

no.,DOS(E_F) (states/eV per atom)
1,0.67
2,1.35
3,0.41
4,0.30
5,1.34
6,1.05